No. 1
# Sr2BeGaO5, optimized geometry, DFT PBE
data_Sr2BeGaO5
_symmetry_space_group_name_H-M 'C m c 21'
_symmetry_Int_Tables_number 36
_symmetry_space_group_name_Hall 'C 2c -2'
_cell_length_a 3.202
_cell_length_b 14.275
_cell_length_c 10.096
_cell_angle_alpha 90.00
_cell_angle_beta 90.00
_cell_angle_gamma 90.00
loop_
_atom_site_label
_atom_site_type_symbol
_atom_site_fract_x
_atom_site_fract_y
_atom_site_fract_z
_atom_site_occupancy
Sr1 Sr 0.000 0.119 0.000 1
Sr2 Sr 0.000 0.128 0.634 1
Be1 Be 0.000 0.431 0.743 1
Ga1 Ga 0.000 0.205 0.328 1
O1 O 0.000 0.059 0.313 1
O2 O 0.000 0.303 0.959 1
O3 O 0.000 0.317 0.695 1
O4 O 0.000 0.338 0.321 1
O5 O 0.000 0.494 0.614 1
# - D(E_F): 21.693 states/eV/cell
# - Final energy: -6.106 eV per atom
# - Energy relative to the elements, uncorrected: -2.23 eV per atom
# - Density: 4.8 g/cm³
# - Magnetic moment: 0.118 μB/atom


No. 2
# KSrLi2, optimized geometry, DFT PBE
data_KSrLi2
_symmetry_space_group_name_H-M 'P 4 m m'
_symmetry_Int_Tables_number 99
_symmetry_space_group_name_Hall 'P 4 -2'
_cell_length_a 4.048
_cell_length_b 4.048
_cell_length_c 9.927
_cell_angle_alpha 90.00
_cell_angle_beta 90.00
_cell_angle_gamma 90.00
loop_
_atom_site_label
_atom_site_type_symbol
_atom_site_fract_x
_atom_site_fract_y
_atom_site_fract_z
_atom_site_occupancy
K1 K 0.000 0.000 0.000 1
Sr1 Sr 0.500 0.500 0.633 1
Li1 Li 0.000 0.000 0.396 1
Li2 Li 0.500 0.500 0.278 1
# - Excess energy over the best structure of this formula in the dataset: 0 kJ/mol of formula units
# - Energy of formation: 0.106 eV per atom
# - D(E_F): 4.530 states/eV/cell
# - Final energy: -1.546 eV per atom
# - Density: 1.4 g/cm³
# - Magnetic moment: 0.000 μB/atom


Q: What is the final energy in the second record?
A: -1.546 eV per atom


Q: The lowest density belongs to which entry?
A: KSrLi2


Q: Look up the D(E_F) of the first one.
A: 21.693 states/eV/cell